# 1
VASP calculation (PBE-GGA) on AcTm2Pb after structural relaxation.

Values from the calculation:
Formation energy from the elements = 104 meV per atom
DOS at the Fermi energy = 5.858 states/eV/cell
Space group = No. 166
Polymorph energy (0 for the lowest one) = 0.289 eV/atom

The structure in POSCAR format:
```
AcTm2Pb
1.0
-0.424 -3.372 1.111
0.589 -2.712 -2.254
11.714 -2.360 3.067
Tm Pb Ac
2 1 1
Direct
0.904 0.904 0.289
0.096 0.096 0.711
0.500 0.500 0.500
0.000 0.000 0.000
```

***

# 2
VASP calculation (PBE-GGA) on CaMn2Fe after structural relaxation.

Values from the calculation:
Formation energy from the elements = 999 meV per atom
DOS at the Fermi energy = 6.591 states/eV/cell
Space group = No. 225
Polymorph energy (0 for the lowest one) = 0.655 eV/atom

The structure in POSCAR format:
```
CaMn2Fe
1.0
0.000 2.994 2.994
2.994 0.000 2.994
2.994 2.994 0.000
Ca Fe Mn
1 1 2
Direct
0.000 0.000 0.000
0.500 0.500 0.500
0.250 0.250 0.250
0.750 0.750 0.750
```

***

# 3
VASP calculation (PBE-GGA) on ScReO2 after structural relaxation.

Values from the calculation:
DOS at the Fermi energy = 2.825 states/eV/cell
Space group = No. 225
Polymorph energy (0 for the lowest one) = 1.083 eV/atom
Energy relative to the elements, uncorrected = -0.81 eV/atom

The structure in POSCAR format:
```
ScReO2
1.0
1.526 -2.779 -2.354
-2.319 -2.845 -1.456
-0.897 -0.041 -3.845
O Sc Re
2 1 1
Direct
0.250 0.250 0.250
0.750 0.750 0.750
0.000 0.000 0.000
0.500 0.500 0.500
```

***

# 4
VASP calculation (PBE-GGA) on LiMnCu4 after structural relaxation.

Values from the calculation:
Formation energy from the elements = 67 meV per atom
DOS at the Fermi energy = 4.204 states/eV/cell
Space group = No. 216

The structure in POSCAR format:
```
LiMnCu4
1.0
0.000 3.433 3.433
3.433 0.000 3.433
3.433 3.433 0.000
Cu Mn Li
4 1 1
Direct
0.625 0.625 0.125
0.625 0.125 0.625
0.125 0.625 0.625
0.625 0.625 0.625
0.000 0.000 0.000
0.250 0.250 0.250
```